Entry 1:
CdPt2Cl: optimized geometry, PBE.

ΔE_f (raw) = 0.177 eV per atom
polymorph energy (0 for the lowest one) = 217 meV/atom
density of states at the Fermi level = 4.3 states/eV per cell

The structure in extended XYZ format:
```
4
Lattice="-0.691 -2.931 0.250 2.350 1.173 1.496 -5.351 1.856 6.950" Properties=species:S:1:pos:R:3 pbc="T T T"
Cl -3.184 0.513 6.086
Pt -5.312 1.842 6.900
Pt -2.714 0.941 3.525
Cd -0.509 -0.415 2.611
```

---

Entry 2:
CdPt2Cl: optimized geometry, PBE.

ΔE_f (raw) = 0.237 eV per atom
polymorph energy (0 for the lowest one) = 277 meV/atom
density of states at the Fermi level = 2.9 states/eV per cell

The structure in extended XYZ format:
```
4
Lattice="-3.313 -4.178 -0.571 0.668 -3.059 -4.354 3.121 1.999 3.876" Properties=species:S:1:pos:R:3 pbc="T T T"
Cl -0.757 -2.899 0.421
Pt 0.000 0.000 0.000
Pt -1.323 -3.618 -2.463
Cd 1.233 -2.339 -1.470
```

---

Entry 3:
Cd2PtCl: optimized geometry, PBE.

ΔE_f (raw) = -0.316 eV per atom
polymorph energy (0 for the lowest one) = 106 meV/atom
density of states at the Fermi level = 1.0 states/eV per cell

The structure in extended XYZ format:
```
4
Lattice="-3.244 -7.324 -1.948 1.548 -7.553 -2.918 0.916 6.671 4.755" Properties=species:S:1:pos:R:3 pbc="T T T"
Cl -0.782 -6.864 -2.245
Pt 0.892 -3.421 -0.056
Cd -0.100 -0.876 -0.287
Cd -1.637 -4.484 0.044
```

---

Entry 4:
CdPt2Cl: optimized geometry, PBE.

ΔE_f (raw) = 0.214 eV per atom
polymorph energy (0 for the lowest one) = 254 meV/atom
density of states at the Fermi level = 4.3 states/eV per cell

The structure in extended XYZ format:
```
4
Lattice="-0.085 -2.674 1.240 4.091 -0.080 0.108 -0.092 2.479 5.343" Properties=species:S:1:pos:R:3 pbc="T T T"
Cl 1.934 0.482 4.681
Pt -0.001 0.031 0.067
Pt -0.045 1.208 2.604
Cd 1.980 -0.757 2.009
```

---

Entry 5:
CdPt2Cl: optimized geometry, PBE.

ΔE_f (raw) = 0.202 eV per atom
polymorph energy (0 for the lowest one) = 242 meV/atom
density of states at the Fermi level = 2.2 states/eV per cell

The structure in extended XYZ format:
```
4
Lattice="2.964 0.000 0.000 0.000 2.964 0.000 0.000 0.000 7.973" Properties=species:S:1:pos:R:3 pbc="T T T"
Cl 1.482 1.482 5.980
Pt 0.000 0.000 0.031
Pt 0.000 0.000 3.956
Cd 1.482 1.482 1.993
```

---

Entry 6:
RbCdPtCl6: optimized geometry, PBE.

ΔE_f (raw) = -0.968 eV per atom

The structure in extended XYZ format:
```
9
Lattice="6.598 -0.186 -0.081 3.141 5.804 0.076 -0.084 0.156 7.328" Properties=species:S:1:pos:R:3 pbc="T T T"
Rb -0.042 0.180 7.328
Cd 6.577 3.896 3.661
Pt 3.210 1.954 3.662
Cl 1.255 2.091 2.351
Cl 2.351 0.193 4.974
Cl 5.136 2.018 4.997
Cl 1.986 3.684 5.300
Cl 4.229 3.588 2.326
Cl 4.094 0.028 2.025
```

---

Entry 7:
CdRu2PtCl: optimized geometry, PBE.

ΔE_f (raw) = 1.122 eV per atom
density of states at the Fermi level = 5.3 states/eV per cell

The structure in extended XYZ format:
```
5
Lattice="4.293 0.000 0.000 0.000 4.992 0.000 0.000 0.000 4.293" Properties=species:S:1:pos:R:3 pbc="T T T"
Ru 0.000 0.000 2.147
Ru 2.147 0.000 0.000
Cl 0.000 0.000 0.000
Pt 2.147 2.496 2.147
Cd 0.000 2.496 0.000
```

---

Entry 8:
CdPtSCl2: optimized geometry, PBE.

ΔE_f (raw) = -0.035 eV per atom
polymorph energy (0 for the lowest one) = 0 meV/atom
density of states at the Fermi level = 3.6 states/eV per cell

The structure in extended XYZ format:
```
5
Lattice="4.876 0.000 0.000 0.000 4.876 0.000 0.000 0.000 4.786" Properties=species:S:1:pos:R:3 pbc="T T T"
S 0.000 0.000 2.393
Cl 0.000 2.438 0.000
Cl 2.438 0.000 0.000
Pt 0.000 0.000 0.000
Cd 2.438 2.438 2.393
```

---

Entry 9:
CdPtSCl2: optimized geometry, PBE.

ΔE_f (raw) = 0.634 eV per atom
polymorph energy (0 for the lowest one) = 670 meV/atom
density of states at the Fermi level = 6.0 states/eV per cell

The structure in extended XYZ format:
```
5
Lattice="4.955 0.000 0.000 0.000 4.955 0.000 0.000 0.000 5.309" Properties=species:S:1:pos:R:3 pbc="T T T"
S 0.000 0.000 2.655
Cl 0.000 2.478 0.000
Cl 2.478 0.000 0.000
Pt 2.478 2.478 2.655
Cd 0.000 0.000 0.000
```

---

Entry 10:
CdPtS2Cl: optimized geometry, PBE.

ΔE_f (raw) = 0.986 eV per atom
polymorph energy (0 for the lowest one) = 825 meV/atom
density of states at the Fermi level = 6.6 states/eV per cell

The structure in extended XYZ format:
```
5
Lattice="-0.058 3.110 3.911 -4.267 2.005 -1.658 -2.590 -3.346 2.622" Properties=species:S:1:pos:R:3 pbc="T T T"
S -2.134 1.002 -0.829
S -0.029 1.555 1.956
Cl -1.295 -1.673 1.311
Pt -3.458 0.884 2.438
Cd 0.000 0.000 0.000
```

---

Entry 11:
CdPtS2Cl: optimized geometry, PBE.

ΔE_f (raw) = 0.161 eV per atom
polymorph energy (0 for the lowest one) = 0 meV/atom
density of states at the Fermi level = 5.7 states/eV per cell

The structure in extended XYZ format:
```
5
Lattice="-0.013 -4.239 2.161 0.355 -2.155 -4.227 4.861 0.153 0.330" Properties=species:S:1:pos:R:3 pbc="T T T"
S 0.177 -1.078 -2.113
S -0.006 -2.119 1.080
Cl 2.430 0.077 0.165
Pt 0.000 0.000 0.000
Cd 2.601 -3.121 -0.868
```

---

Entry 12:
Cd2SnPtCl: optimized geometry, PBE.

ΔE_f (raw) = 0.632 eV per atom
density of states at the Fermi level = 11.0 states/eV per cell

The structure in extended XYZ format:
```
5
Lattice="5.490 0.000 0.000 0.000 5.490 0.000 0.000 0.000 5.144" Properties=species:S:1:pos:R:3 pbc="T T T"
Cl 0.000 0.000 2.572
Sn 0.000 0.000 0.000
Pt 2.745 2.745 2.572
Cd 0.000 2.745 0.000
Cd 2.745 0.000 0.000
```

---

What did the twelfth record say?
Cd2SnPtCl: optimized geometry, PBE.

ΔE_f (raw) = 0.632 eV per atom
density of states at the Fermi level = 11.0 states/eV per cell

The structure in extended XYZ format:
```
5
Lattice="5.490 0.000 0.000 0.000 5.490 0.000 0.000 0.000 5.144" Properties=species:S:1:pos:R:3 pbc="T T T"
Cl 0.000 0.000 2.572
Sn 0.000 0.000 0.000
Pt 2.745 2.745 2.572
Cd 0.000 2.745 0.000
Cd 2.745 0.000 0.000
```